A plane-wave DFT calculation with PBE was carried out for a geometry-optimized TbAg2 structure.

The structure in POSCAR format:
```
TbAg2
1.0
0.0000 4.0397 4.0397
4.0397 0.0000 4.0397
4.0397 4.0397 0.0000
Tb Ag
2 4
direct
0.1250 0.1250 0.1250 Tb
0.8750 0.8750 0.8750 Tb
0.0000 0.5000 0.5000 Ag
0.5000 0.0000 0.5000 Ag
0.5000 0.5000 0.0000 Ag
0.5000 0.5000 0.5000 Ag
```

Energy relative to the elements in meV/atom: -171
Crystal system: cubic
Space group: Fd-3m, No. 227
DOS at the Fermi energy in states/eV/f.u.: 2.5



A plane-wave DFT calculation with PBE was carried out for a geometry-optimized KTlSb structure.

The structure in POSCAR format:
```
KTlSb
1.0
0.0000 3.8944 3.8944
3.8944 0.0000 3.8944
3.8944 3.8944 0.0000
K Tl Sb
1 1 1
direct
0.0000 0.0000 0.0000 K
0.5000 0.5000 0.5000 Tl
0.7500 0.7500 0.7500 Sb
```

Crystal system: cubic
Relative energy among the computed polymorphs in eV per atom: 0.115
Space group: F-43m, No. 216
Formation energy without anion corrections in eV/atom: -0.1607
DOS at the Fermi energy in states/eV/f.u.: 1.4



A plane-wave DFT calculation with PBE was carried out for a geometry-optimized Mn2InAu structure.

The structure in POSCAR format:
```
Mn2InAu
1.0
2.9045 -3.8848 0.0000
2.9045 3.8848 0.0000
0.0000 0.0000 3.0198
Mn In Au
2 1 1
direct
0.0000 0.5000 0.0000 Mn
0.5000 0.0000 0.0000 Mn
0.0000 0.0000 0.5000 In
0.5000 0.5000 0.5000 Au
```

Energy relative to the elements in meV/atom: 121
Crystal system: orthorhombic
Space group: Cmmm, No. 65
DOS at the Fermi energy in states/eV/f.u.: 3.7



A plane-wave DFT calculation with PBE was carried out for a geometry-optimized Pr3Nd3YTe8 structure.

The structure in POSCAR format:
```
Pr3Nd3YTe8
1.0
4.4911 2.5930 7.3494
-4.4911 2.5930 7.3494
0.0000 -5.1859 7.3494
Pr Nd Y Te
3 3 1 8
direct
0.0000 0.5000 0.5000 Pr
0.5000 0.0000 0.5000 Pr
0.5000 0.5000 0.0000 Pr
0.0000 0.0000 0.5000 Nd
0.0000 0.5000 0.0000 Nd
0.5000 0.0000 0.0000 Nd
0.5000 0.5000 0.5000 Y
0.2492 0.2492 0.2492 Te
0.2495 0.7489 0.7489 Te
0.2511 0.2511 0.7505 Te
0.2511 0.7505 0.2511 Te
0.7489 0.2495 0.7489 Te
0.7489 0.7489 0.2495 Te
0.7505 0.2511 0.2511 Te
0.7508 0.7508 0.7508 Te
```

Crystal system: trigonal
Space group: R-3m, No. 166
Formation energy without anion corrections in eV/atom: -1.4573
DOS at the Fermi energy in states/eV/f.u.: 7.4



A plane-wave DFT calculation with PBE was carried out for a geometry-optimized DyHo2Tl structure.

The structure in POSCAR format:
```
DyHo2Tl
1.0
6.6850 0.0000 0.0000
0.0000 5.3282 0.0000
-1.2142 0.0000 6.5761
Dy Ho Tl
2 4 2
direct
0.1610 0.2500 0.4260 Dy
0.8390 0.7500 0.5740 Dy
0.0818 0.2500 0.9064 Ho
0.3654 0.7500 0.7774 Ho
0.6346 0.2500 0.2226 Ho
0.9182 0.7500 0.0936 Ho
0.3868 0.7500 0.2624 Tl
0.6132 0.2500 0.7376 Tl
```

Energy relative to the elements in meV/atom: -184
Crystal system: monoclinic
Relative energy among the computed polymorphs in eV per atom: 0.000
Space group: P2_1/m, No. 11
DOS at the Fermi energy in states/eV/f.u.: 3.8



A plane-wave DFT calculation with PBE was carried out for a geometry-optimized CrGa3Si structure.

The structure in POSCAR format:
```
CrGa3Si
1.0
4.6845 0.0000 0.0000
0.0000 4.6845 0.0000
0.0000 0.0000 4.6845
Cr Ga Si
1 3 1
direct
0.0000 0.0000 0.0000 Cr
0.0000 0.0000 0.5000 Ga
0.0000 0.5000 0.0000 Ga
0.5000 0.0000 0.0000 Ga
0.5000 0.5000 0.5000 Si
```

Crystal system: cubic
Relative energy among the computed polymorphs in eV per atom: 0.000
Space group: Pm-3m, No. 221
Formation energy without anion corrections in eV/atom: 0.6628
DOS at the Fermi energy in states/eV/f.u.: 1.7



A plane-wave DFT calculation with PBE was carried out for a geometry-optimized Ta2AgF11 structure.

The structure in POSCAR format:
```
Ta2AgF11
1.0
-3.9997 5.1167 5.5515
3.9997 -5.1167 5.5515
3.9997 5.1167 -5.5515
Ta Ag F
4 2 22
direct
0.1864 0.1098 0.2963 Ta
0.3136 0.6098 0.9234 Ta
0.6864 0.3902 0.0766 Ta
0.8136 0.8902 0.7037 Ta
0.2500 0.7500 0.5000 Ag
0.7500 0.2500 0.5000 Ag
0.0000 0.0000 0.0000 F
0.0242 0.8911 0.6684 F
0.0589 0.4759 0.7740 F
0.2019 0.9759 0.4171 F
0.2082 0.8645 0.0727 F
0.2227 0.3558 0.3316 F
0.2773 0.6089 0.1331 F
0.2918 0.3645 0.6563 F
0.2981 0.7152 0.7740 F
0.4411 0.2152 0.4171 F
0.4758 0.1442 0.8669 F
0.5000 0.5000 0.0000 F
0.5242 0.8558 0.1331 F
0.5589 0.7848 0.5829 F
0.7019 0.2848 0.2260 F
0.7082 0.6355 0.3437 F
0.7227 0.3911 0.8669 F
0.7773 0.6442 0.6684 F
0.7918 0.1355 0.9273 F
0.7981 0.0241 0.5829 F
0.9411 0.5241 0.2260 F
0.9758 0.1089 0.3316 F
```

Crystal system: orthorhombic
Space group: Ibam, No. 72
Formation energy without anion corrections in eV/atom: -2.9004
DOS at the Fermi energy in states/eV/f.u.: 0.0



A plane-wave DFT calculation with PBE was carried out for a geometry-optimized DyErMnAg structure.

The structure in POSCAR format:
```
DyErMnAg
1.0
0.0000 3.5834 3.5834
3.5834 0.0000 3.5834
3.5834 3.5834 0.0000
Dy Er Mn Ag
1 1 1 1
direct
0.0000 0.0000 0.0000 Dy
0.5000 0.5000 0.5000 Er
0.7500 0.7500 0.7500 Mn
0.2500 0.2500 0.2500 Ag
```

Energy relative to the elements in meV/atom: -15
Crystal system: cubic
Space group: F-43m, No. 216
DOS at the Fermi energy in states/eV/f.u.: 4.2



A plane-wave DFT calculation with PBE was carried out for a geometry-optimized ScPa2GeN5 structure.

The structure in POSCAR format:
```
ScPa2GeN5
1.0
1.6381 -6.9080 0.0000
1.6381 6.9080 0.0000
0.0000 0.0000 9.9679
Sc Pa Ge N
2 4 2 10
direct
0.2076 0.7924 0.5000 Sc
0.7924 0.2076 0.0000 Sc
0.1182 0.8818 0.1700 Pa
0.1402 0.8598 0.7974 Pa
0.8598 0.1402 0.2974 Pa
0.8818 0.1182 0.6700 Pa
0.4571 0.5429 0.9417 Ge
0.5429 0.4571 0.4417 Ge
0.0431 0.9569 0.5409 N
0.2880 0.7120 0.1585 N
0.3237 0.6763 0.8539 N
0.3599 0.6401 0.4954 N
0.4888 0.5112 0.2709 N
0.5112 0.4888 0.7709 N
0.6401 0.3599 0.9954 N
0.6763 0.3237 0.3539 N
0.7120 0.2880 0.6585 N
0.9569 0.0431 0.0409 N
```

Crystal system: orthorhombic
Space group: Cmc2_1, No. 36
Formation energy without anion corrections in eV/atom: -1.1398
DOS at the Fermi energy in states/eV/f.u.: 6.6



A plane-wave DFT calculation with PBE was carried out for a geometry-optimized Ti7Co5Cu structure.

The structure in POSCAR format:
```
Ti7Co5Cu
1.0
-2.5172 4.3002 4.2180
2.5172 -4.3002 4.2180
2.5172 4.3002 -4.2180
Ti Co Cu
7 5 1
direct
0.0000 0.0000 0.0000 Ti
0.2455 0.5520 0.6935 Ti
0.3458 0.3458 0.0000 Ti
0.3490 0.0103 0.3387 Ti
0.6716 0.0103 0.6613 Ti
0.7915 0.2915 0.5000 Ti
0.8584 0.5520 0.3065 Ti
0.0320 0.0436 0.4947 Co
0.0320 0.5374 0.9884 Co
0.2682 0.7682 0.5000 Co
0.5490 0.0436 0.0116 Co
0.5490 0.5374 0.5053 Co
0.6618 0.6618 0.0000 Cu
```

Energy relative to the elements in meV/atom: -206
Crystal system: orthorhombic
Space group: Imm2, No. 44
DOS at the Fermi energy in states/eV/f.u.: 13.1



A plane-wave DFT calculation with PBE was carried out for a geometry-optimized YScCl structure.

The structure in POSCAR format:
```
YScCl
1.0
0.0000 3.2900 3.2900
3.2900 0.0000 3.2900
3.2900 3.2900 0.0000
Y Sc Cl
1 1 1
direct
0.0000 0.0000 0.0000 Y
0.5000 0.5000 0.5000 Sc
0.2500 0.2500 0.2500 Cl
```

Crystal system: cubic
Relative energy among the computed polymorphs in eV per atom: 0.643
Space group: F-43m, No. 216
Formation energy without anion corrections in eV/atom: -0.2289
DOS at the Fermi energy in states/eV/f.u.: 3.9



A plane-wave DFT calculation with PBE was carried out for a geometry-optimized MgCu2Br structure.

The structure in POSCAR format:
```
MgCu2Br
1.0
4.4234 -1.9219 0.0000
4.4234 1.9219 0.0000
-0.5644 0.0000 5.1645
Mg Cu Br
1 2 1
direct
0.0000 0.0000 0.0000 Mg
0.3013 0.3013 0.1154 Cu
0.6987 0.6987 0.8846 Cu
0.5000 0.5000 0.5000 Br
```

Crystal system: monoclinic
Relative energy among the computed polymorphs in eV per atom: 0.130
Space group: C2/m, No. 12
Formation energy without anion corrections in eV/atom: -0.0105
DOS at the Fermi energy in states/eV/f.u.: 0.2